No. 1
## Cs2Rb2Cd (GGA-PBE)

Data for a geometry-optimized Cs2Rb2Cd structure.

Calculated values
The energy above the most stable polymorph in this dataset is 0 meV/atom. The total magnetization is 0.00 μB per cell.

Unit cell a=10.593 b=16.550 c=10.285 alpha=90.00 beta=116.22 gamma=90.00
Space group C2/m (No. 12)
Symmetry-distinct sites (fractional):
Cs 0.047 0.224 0.264
Rb 0.230 0.500 0.883
Rb 0.244 0.000 0.633
Cd 0.000 0.409 0.500

---

No. 2
## MgTcP (GGA-PBE)

Data for a geometry-optimized MgTcP structure.

Calculated values
The energy above the most stable polymorph in this dataset is 174 meV/atom. The total magnetization is 0.00 μB per cell.

Unit cell a=3.9912 b=3.9912 c=3.5014 alpha=90.00 beta=90.00 gamma=120.00
Space group P-6m2 (No. 187)
Symmetry-distinct sites (fractional):
Mg 0.0000 0.0000 0.0000
Tc 0.3333 0.6667 0.5000
P 0.6667 0.3333 0.5000

---

Question: Number 1 is which compound?
Answer: Cs2Rb2Cd